Record 1
{
  "formula": "BaCr4Sb",
  "functional": "PBE-GGA",
  "state": "optimized geometry",
  "lattice_angstrom": [[0.0000, 3.7994, 3.7994], [3.7994, 0.0000, 3.7994], [3.7994, 3.7994, 0.0000]],
  "species": ["Cr", "Cr", "Cr", "Cr", "Sb", "Ba"],
  "fractional_positions": [[0.3904, 0.3904, 0.8289], [0.8289, 0.3904, 0.3904], [0.3904, 0.3904, 0.3904], [0.3904, 0.8289, 0.3904], [0.7500, 0.7500, 0.7500], [0.0000, 0.0000, 0.0000]]
}



Record 2
{
  "formula": "BaCr2Sb",
  "functional": "PBE-GGA",
  "state": "optimized geometry",
  "lattice_angstrom": [[-3.8204, 0.5281, 4.0222], [3.8505, -1.6343, 3.6817], [0.3118, 4.4881, -3.2882]],
  "species": ["Cr", "Cr", "Ba", "Sb"],
  "fractional_positions": [[0.7248, 0.2248, 0.5000], [0.9476, 0.9476, 0.0000], [0.2629, 0.7629, 0.5000], [0.5647, 0.5647, 0.0000]]
}



Record 3
{
  "formula": "Ba4CrSb",
  "functional": "PBE-GGA",
  "state": "optimized geometry",
  "lattice_angstrom": [[0.0000, 5.0833, 5.0833], [5.0833, 0.0000, 5.0833], [5.0833, 5.0833, 0.0000]],
  "species": ["Ba", "Ba", "Ba", "Ba", "Cr", "Sb"],
  "fractional_positions": [[0.3738, 0.3738, 0.3738], [0.3738, 0.3738, 0.8785], [0.3738, 0.8785, 0.3738], [0.8785, 0.3738, 0.3738], [0.7500, 0.7500, 0.7500], [0.0000, 0.0000, 0.0000]]
}



Record 4
{
  "formula": "BaCrSb",
  "functional": "PBE-GGA",
  "state": "optimized geometry",
  "lattice_angstrom": [[5.1666, 0.0000, 0.0000], [2.5833, 4.4744, 0.0000], [2.5833, 1.4915, 4.2185]],
  "species": ["Cr", "Sb", "Ba"],
  "fractional_positions": [[0.7500, 0.7500, 0.7500], [0.0000, 0.0000, 0.0000], [0.5000, 0.5000, 0.5000]]
}



no.,E_tot (eV/atom),density (g/cm³),total magnetic moment (Bohr magnetons per cell)
1,-6.50,7.07,1.61
2,-5.76,4.96,9.63
3,-3.04,4.57,4.32
4,-5.31,5.30,4.97